First-principles (PBE-GGA) data for crystalline Mg2HOs at its relaxed geometry, as listed in the Alexandria database.

```
8
Lattice="4.613 -2.169 0.000 4.613 2.169 0.000 -2.242 0.000 5.280" Properties=species:S:1:pos:R:3 pbc="T T T"
Mg 1.314 0.000 0.388
Mg 0.206 0.000 3.020
Mg 6.779 0.000 2.260
Mg 5.670 0.000 4.892
H 1.495 0.000 4.849
H 5.489 0.000 0.431
Os 3.949 0.000 1.470
Os 3.035 0.000 3.810
```

The space group is C2/m. The calculation puts the size of the total moment at 0.000 μB/f.u. The value obtained for the excess energy over the best structure of this formula in the dataset is 3.3 kJ per mole of atoms. The calculation puts the density of states at the Fermi level at 1.5 states/eV/f.u.